(1)
A relaxed structure of CrP7, computed with PBE-GGA.

ΔH_f (0 K)	538	kJ/mol of formula units

CIF file:
```
data_CrP7
_chemical_formula_sum 'Cr4 P28'
_space_group_name_H-M_alt 'F m -3 m'
_space_group_IT_number 225
_space_group_name_Hall '-F 4 2 3'
_cell_length_a 7.7202
_cell_length_b 7.7202
_cell_length_c 7.7202
_cell_angle_alpha 90.00
_cell_angle_beta 90.00
_cell_angle_gamma 90.00
loop_
_atom_site_label
_atom_site_type_symbol
_atom_site_fract_x
_atom_site_fract_y
_atom_site_fract_z
Cr1 Cr 0.0000 0.0000 0.0000
P1 P 0.0000 0.0000 0.5000
P2 P 0.0000 0.2500 0.2500
```

***

(2)
A relaxed structure of Cr5P, computed with PBE-GGA.

ΔH_f (0 K)	-82	kJ/mol of formula units
ΔE to the lowest computed polymorph	0.0000	eV per atom

CIF file:
```
data_Cr5P
_chemical_formula_sum 'Cr10 P2'
_space_group_name_H-M_alt 'C 1 2/m 1'
_space_group_IT_number 12
_cell_length_a 8.8357
_cell_length_b 2.9158
_cell_length_c 5.5860
_cell_angle_alpha 90.00
_cell_angle_beta 109.14
_cell_angle_gamma 90.00
loop_
_space_group_symop_operation_xyz
'x,y,z'
'-x,-y,-z'
'-x,y,-z'
'x,-y,z'
'x+1/2,y+1/2,z'
'-x+1/2,-y+1/2,-z'
'-x+1/2,y+1/2,-z'
'x+1/2,-y+1/2,z'
loop_
_atom_site_label
_atom_site_type_symbol
_atom_site_fract_x
_atom_site_fract_y
_atom_site_fract_z
Cr1 Cr 0.0000 0.0000 0.0000
Cr2 Cr 0.1648 0.5000 0.8319
Cr3 Cr 0.1706 0.5000 0.3363
P1 P 0.0000 0.0000 0.5000
```

***

(3)
A relaxed structure of Cr4P, computed with PBE-GGA.

ΔH_f (0 K)	320	kJ/mol of formula units
ΔE to the lowest computed polymorph	0.8409	eV per atom

CIF file:
```
data_Cr4P
_chemical_formula_sum 'Cr8 P2'
_space_group_name_H-M_alt 'I 4/m m m'
_space_group_IT_number 139
_space_group_name_Hall '-I 4 2'
_cell_length_a 3.5677
_cell_length_b 3.5677
_cell_length_c 10.5066
_cell_angle_alpha 90.00
_cell_angle_beta 90.00
_cell_angle_gamma 90.00
loop_
_atom_site_label
_atom_site_type_symbol
_atom_site_fract_x
_atom_site_fract_y
_atom_site_fract_z
Cr1 Cr 0.0000 0.0000 0.1108
Cr2 Cr 0.0000 0.5000 0.2500
P1 P 0.0000 0.0000 0.5000
```

***

(4)
A relaxed structure of Cr5P, computed with PBE-GGA.

ΔH_f (0 K)	-50	kJ/mol of formula units
ΔE to the lowest computed polymorph	0.0552	eV per atom

CIF file:
```
data_Cr5P
_chemical_formula_sum 'Cr5 P1'
_space_group_name_H-M_alt 'P 4/m m m'
_space_group_IT_number 123
_space_group_name_Hall '-P 4 2'
_cell_length_a 2.8907
_cell_length_b 2.8907
_cell_length_c 8.1987
_cell_angle_alpha 90.00
_cell_angle_beta 90.00
_cell_angle_gamma 90.00
loop_
_atom_site_label
_atom_site_type_symbol
_atom_site_fract_x
_atom_site_fract_y
_atom_site_fract_z
Cr1 Cr 0.0000 0.0000 0.0000
Cr2 Cr 0.0000 0.0000 0.3405
Cr3 Cr 0.5000 0.5000 0.1700
P1 P 0.5000 0.5000 0.5000
```

***

(5)
A relaxed structure of CrP3, computed with PBE-GGA.

ΔH_f (0 K)	-45	kJ/mol of formula units
ΔE to the lowest computed polymorph	0.0000	eV per atom

CIF file:
```
data_CrP3
_chemical_formula_sum 'Cr2 P6'
_space_group_name_H-M_alt 'I m m 2'
_space_group_IT_number 44
_cell_length_a 3.2507
_cell_length_b 7.2725
_cell_length_c 4.6884
_cell_angle_alpha 90.00
_cell_angle_beta 90.00
_cell_angle_gamma 90.00
loop_
_space_group_symop_operation_xyz
'x,y,z'
'-x,-y,z'
'-x,y,z'
'x,-y,z'
'x+1/2,y+1/2,z+1/2'
'-x+1/2,-y+1/2,z+1/2'
'-x+1/2,y+1/2,z+1/2'
'x+1/2,-y+1/2,z+1/2'
loop_
_atom_site_label
_atom_site_type_symbol
_atom_site_fract_x
_atom_site_fract_y
_atom_site_fract_z
Cr1 Cr 0.0000 0.0000 0.0000
P1 P 0.0000 0.3127 0.7895
P2 P 0.0000 0.5000 0.1458
```

***

(6)
A relaxed structure of Cr5P, computed with PBE-GGA.

ΔH_f (0 K)	179	kJ/mol of formula units
ΔE to the lowest computed polymorph	0.4504	eV per atom

CIF file:
```
data_Cr5P
_chemical_formula_sum 'Cr20 P4'
_space_group_name_H-M_alt 'F -4 3 m'
_space_group_IT_number 216
_space_group_name_Hall 'F -4 2 3'
_cell_length_a 6.6006
_cell_length_b 6.6006
_cell_length_c 6.6006
_cell_angle_alpha 90.00
_cell_angle_beta 90.00
_cell_angle_gamma 90.00
loop_
_atom_site_label
_atom_site_type_symbol
_atom_site_fract_x
_atom_site_fract_y
_atom_site_fract_z
Cr1 Cr 0.0000 0.0000 0.0000
Cr2 Cr 0.1238 0.1238 0.6238
P1 P 0.2500 0.2500 0.2500
```

***

(7)
A relaxed structure of CrP3, computed with PBE-GGA.

ΔH_f (0 K)	74	kJ/mol of formula units
ΔE to the lowest computed polymorph	0.3084	eV per atom

CIF file:
```
data_CrP3
_chemical_formula_sum 'Cr2 P6'
_space_group_name_H-M_alt 'C 1 2/m 1'
_space_group_IT_number 12
_cell_length_a 7.8759
_cell_length_b 3.0765
_cell_length_c 4.5174
_cell_angle_alpha 90.00
_cell_angle_beta 94.10
_cell_angle_gamma 90.00
loop_
_space_group_symop_operation_xyz
'x,y,z'
'-x,-y,-z'
'-x,y,-z'
'x,-y,z'
'x+1/2,y+1/2,z'
'-x+1/2,-y+1/2,-z'
'-x+1/2,y+1/2,-z'
'x+1/2,-y+1/2,z'
loop_
_atom_site_label
_atom_site_type_symbol
_atom_site_fract_x
_atom_site_fract_y
_atom_site_fract_z
Cr1 Cr 0.0000 0.0000 0.0000
P1 P 0.0000 0.5000 0.5000
P2 P 0.2177 0.5000 0.1949
```

***

(8)
A relaxed structure of CrP8, computed with PBE-GGA.

ΔH_f (0 K)	295	kJ/mol of formula units

CIF file:
```
data_CrP8
_chemical_formula_sum 'Cr2 P16'
_space_group_name_H-M_alt 'I 4/m m m'
_space_group_IT_number 139
_space_group_name_Hall '-I 4 2'
_cell_length_a 10.3833
_cell_length_b 10.3833
_cell_length_c 3.7430
_cell_angle_alpha 90.00
_cell_angle_beta 90.00
_cell_angle_gamma 90.00
loop_
_atom_site_label
_atom_site_type_symbol
_atom_site_fract_x
_atom_site_fract_y
_atom_site_fract_z
Cr1 Cr 0.0000 0.0000 0.0000
P1 P 0.0000 0.3914 0.0000
P2 P 0.1092 0.1092 0.5000
```

***

(9)
A relaxed structure of Cr4P, computed with PBE-GGA.

ΔH_f (0 K)	-86	kJ/mol of formula units
ΔE to the lowest computed polymorph	0.0000	eV per atom

CIF file:
```
data_Cr4P
_chemical_formula_sum 'Cr8 P2'
_space_group_name_H-M_alt 'I 4/m'
_space_group_IT_number 87
_space_group_name_Hall '-I 4'
_cell_length_a 6.1980
_cell_length_b 6.1980
_cell_length_c 2.9306
_cell_angle_alpha 90.00
_cell_angle_beta 90.00
_cell_angle_gamma 90.00
loop_
_atom_site_label
_atom_site_type_symbol
_atom_site_fract_x
_atom_site_fract_y
_atom_site_fract_z
Cr1 Cr 0.1029 0.2991 0.0000
P1 P 0.0000 0.0000 0.5000
```

***

(10)
A relaxed structure of CrP3, computed with PBE-GGA.

ΔH_f (0 K)	115	kJ/mol of formula units
ΔE to the lowest computed polymorph	0.4128	eV per atom

CIF file:
```
data_CrP3
_chemical_formula_sum 'Cr2 P6'
_space_group_name_H-M_alt 'I m m m'
_space_group_IT_number 71
_space_group_name_Hall '-I 2 2'
_cell_length_a 3.2139
_cell_length_b 4.3706
_cell_length_c 7.6863
_cell_angle_alpha 90.00
_cell_angle_beta 90.00
_cell_angle_gamma 90.00
loop_
_atom_site_label
_atom_site_type_symbol
_atom_site_fract_x
_atom_site_fract_y
_atom_site_fract_z
Cr1 Cr 0.0000 0.0000 0.0000
P1 P 0.0000 0.0000 0.5000
P2 P 0.0000 0.5000 0.2159
```

***

(11)
A relaxed structure of PaCrP2, computed with PBE-GGA.

ΔH_f (0 K)	-247	kJ/mol of formula units
ΔE to the lowest computed polymorph	0.0000	eV per atom

CIF file:
```
data_PaCrP2
_chemical_formula_sum 'Pa2 Cr2 P4'
_space_group_name_H-M_alt 'I -4 m 2'
_space_group_IT_number 119
_space_group_name_Hall 'I -4 -2'
_cell_length_a 3.7839
_cell_length_b 3.7839
_cell_length_c 10.0876
_cell_angle_alpha 90.00
_cell_angle_beta 90.00
_cell_angle_gamma 90.00
loop_
_atom_site_label
_atom_site_type_symbol
_atom_site_fract_x
_atom_site_fract_y
_atom_site_fract_z
Pa1 Pa 0.0000 0.0000 0.0000
Cr1 Cr 0.0000 0.5000 0.7500
P1 P 0.0000 0.0000 0.3813
```

***

(12)
A relaxed structure of PaCrP2, computed with PBE-GGA.

ΔH_f (0 K)	-48	kJ/mol of formula units
ΔE to the lowest computed polymorph	0.5143	eV per atom

CIF file:
```
data_PaCrP2
_chemical_formula_sum 'Pa3 Cr3 P6'
_space_group_name_H-M_alt 'R -3 m'
_space_group_IT_number 166
_space_group_name_Hall '-R 3 2"'
_cell_length_a 4.2094
_cell_length_b 4.2094
_cell_length_c 21.9975
_cell_angle_alpha 90.00
_cell_angle_beta 90.00
_cell_angle_gamma 120.00
loop_
_atom_site_label
_atom_site_type_symbol
_atom_site_fract_x
_atom_site_fract_y
_atom_site_fract_z
Pa1 Pa 0.0000 0.0000 0.0000
Cr1 Cr 0.0000 0.0000 0.5000
P1 P 0.0000 0.0000 0.3923
```